[1]
# GGA-PBE TaZnCd2, relaxed
data_TaZnCd2
_cell_length_a 11.136
_cell_length_b 2.816
_cell_length_c 5.447
_cell_angle_alpha 90.00
_cell_angle_beta 117.82
_cell_angle_gamma 90.00
_symmetry_space_group_name_H-M 'C 1 m 1'
_symmetry_Int_Tables_number 8
loop_
_symmetry_equiv_pos_as_xyz
'x,y,z'
'x,-y,z'
'x+1/2,y+1/2,z'
'x+1/2,-y+1/2,z'
loop_
_atom_site_label
_atom_site_fract_x
_atom_site_fract_y
_atom_site_fract_z
Ta1 0.000 0.000 0.000
Zn1 0.266 0.000 0.951
Cd1 0.012 0.500 0.520
Cd2 0.251 0.500 0.425
# Magnetic moment in μB per formula unit: 0.0
# Final energy in eV/atom: -3.501
# E_form in meV/atom: 238

---

[2]
# GGA-PBE TaZnCd2, relaxed
data_TaZnCd2
_cell_length_a 5.803
_cell_length_b 9.915
_cell_length_c 2.778
_cell_angle_alpha 90.00
_cell_angle_beta 110.14
_cell_angle_gamma 90.00
_symmetry_space_group_name_H-M 'C 1 2/m 1'
_symmetry_Int_Tables_number 12
loop_
_symmetry_equiv_pos_as_xyz
'x,y,z'
'-x,-y,-z'
'-x,y,-z'
'x,-y,z'
'x+1/2,y+1/2,z'
'-x+1/2,-y+1/2,-z'
'-x+1/2,y+1/2,-z'
'x+1/2,-y+1/2,z'
loop_
_atom_site_label
_atom_site_fract_x
_atom_site_fract_y
_atom_site_fract_z
Ta1 0.000 0.000 0.000
Zn1 0.000 0.500 0.000
Cd1 0.250 0.250 0.500
# Magnetic moment in μB per formula unit: 0.1
# Final energy in eV/atom: -3.497
# E_form in meV/atom: 242

---

[3]
# GGA-PBE TaZn2Cd, relaxed
data_TaZn2Cd
_cell_length_a 5.853
_cell_length_b 8.992
_cell_length_c 2.720
_cell_angle_alpha 90.00
_cell_angle_beta 105.48
_cell_angle_gamma 90.00
_symmetry_space_group_name_H-M 'C 1 2/m 1'
_symmetry_Int_Tables_number 12
loop_
_symmetry_equiv_pos_as_xyz
'x,y,z'
'-x,-y,-z'
'-x,y,-z'
'x,-y,z'
'x+1/2,y+1/2,z'
'-x+1/2,-y+1/2,-z'
'-x+1/2,y+1/2,-z'
'x+1/2,-y+1/2,z'
loop_
_atom_site_label
_atom_site_fract_x
_atom_site_fract_y
_atom_site_fract_z
Ta1 0.000 0.000 0.000
Zn1 0.250 0.250 0.500
Cd1 0.000 0.500 0.000
# Magnetic moment in μB per formula unit: 0.1
# Final energy in eV/atom: -3.660
# E_form in meV/atom: 169

---

[4]
# GGA-PBE TaZn2Cd, relaxed
data_TaZn2Cd
_cell_length_a 7.191
_cell_length_b 7.191
_cell_length_c 5.743
_cell_angle_alpha 90.00
_cell_angle_beta 90.00
_cell_angle_gamma 90.00
_symmetry_space_group_name_H-M 'I -4 2 d'
_symmetry_Int_Tables_number 122
_symmetry_space_group_name_Hall 'I -4 2bw'
loop_
_atom_site_label
_atom_site_fract_x
_atom_site_fract_y
_atom_site_fract_z
Ta1 0.000 0.000 0.000
Zn1 0.247 0.250 0.625
Cd1 0.000 0.000 0.500
# Magnetic moment in μB per formula unit: 0.0
# Final energy in eV/atom: -3.285
# E_form in meV/atom: 544

---

[5]
# GGA-PBE Ta2ZnCd, relaxed
data_Ta2ZnCd
_cell_length_a 4.030
_cell_length_b 4.030
_cell_length_c 8.813
_cell_angle_alpha 90.00
_cell_angle_beta 90.00
_cell_angle_gamma 90.00
_symmetry_space_group_name_H-M 'I -4 m 2'
_symmetry_Int_Tables_number 119
_symmetry_space_group_name_Hall 'I -4 -2'
loop_
_atom_site_label
_atom_site_fract_x
_atom_site_fract_y
_atom_site_fract_z
Ta1 0.000 0.000 0.000
Ta2 0.000 0.500 0.250
Zn1 0.000 0.500 0.750
Cd1 0.000 0.000 0.500
# Magnetic moment in μB per formula unit: 0.0
# Final energy in eV/atom: -6.153
# E_form in meV/atom: 321

---

[6]
# GGA-PBE TaZn2Cd, relaxed
data_TaZn2Cd
_cell_length_a 3.980
_cell_length_b 3.980
_cell_length_c 8.709
_cell_angle_alpha 90.00
_cell_angle_beta 90.00
_cell_angle_gamma 90.00
_symmetry_space_group_name_H-M 'I -4 m 2'
_symmetry_Int_Tables_number 119
_symmetry_space_group_name_Hall 'I -4 -2'
loop_
_atom_site_label
_atom_site_fract_x
_atom_site_fract_y
_atom_site_fract_z
Ta1 0.000 0.000 0.000
Zn1 0.000 0.000 0.500
Zn2 0.000 0.500 0.750
Cd1 0.000 0.500 0.250
# Magnetic moment in μB per formula unit: 0.0
# Final energy in eV/atom: -3.490
# E_form in meV/atom: 339

---

[7]
# GGA-PBE Ta2ZnCd, relaxed
data_Ta2ZnCd
_cell_length_a 3.556
_cell_length_b 4.477
_cell_length_c 9.105
_cell_angle_alpha 90.00
_cell_angle_beta 90.00
_cell_angle_gamma 90.00
_symmetry_space_group_name_H-M 'C m m 2'
_symmetry_Int_Tables_number 35
loop_
_symmetry_equiv_pos_as_xyz
'x,y,z'
'-x,-y,z'
'-x,y,z'
'x,-y,z'
'x+1/2,y+1/2,z'
'-x+1/2,-y+1/2,z'
'-x+1/2,y+1/2,z'
'x+1/2,-y+1/2,z'
loop_
_atom_site_label
_atom_site_fract_x
_atom_site_fract_y
_atom_site_fract_z
Ta1 0.000 0.000 0.000
Ta2 0.000 0.500 0.246
Zn1 0.000 0.500 0.765
Cd1 0.000 0.000 0.515
# Magnetic moment in μB per formula unit: 0.0
# Final energy in eV/atom: -6.394
# E_form in meV/atom: 80

---

[8]
# GGA-PBE Ta2ZnCd, relaxed
data_Ta2ZnCd
_cell_length_a 2.847
_cell_length_b 2.847
_cell_length_c 8.878
_cell_angle_alpha 90.00
_cell_angle_beta 90.00
_cell_angle_gamma 90.00
_symmetry_space_group_name_H-M 'P 4 m m'
_symmetry_Int_Tables_number 99
loop_
_symmetry_equiv_pos_as_xyz
'x,y,z'
'-y,x,z'
'-x,-y,z'
'y,-x,z'
'-x,y,z'
'y,x,z'
'x,-y,z'
'-y,-x,z'
loop_
_atom_site_label
_atom_site_fract_x
_atom_site_fract_y
_atom_site_fract_z
Ta1 0.000 0.000 0.000
Ta2 0.500 0.500 0.257
Zn1 0.000 0.000 0.489
Cd1 0.500 0.500 0.732
# Magnetic moment in μB per formula unit: 0.0
# Final energy in eV/atom: -6.356
# E_form in meV/atom: 117

---

[9]
# GGA-PBE TaZnCd2, relaxed
data_TaZnCd2
_cell_length_a 4.127
_cell_length_b 4.136
_cell_length_c 8.769
_cell_angle_alpha 90.00
_cell_angle_beta 90.00
_cell_angle_gamma 90.00
_symmetry_space_group_name_H-M 'C m m 2'
_symmetry_Int_Tables_number 35
loop_
_symmetry_equiv_pos_as_xyz
'x,y,z'
'-x,-y,z'
'-x,y,z'
'x,-y,z'
'x+1/2,y+1/2,z'
'-x+1/2,-y+1/2,z'
'-x+1/2,y+1/2,z'
'x+1/2,-y+1/2,z'
loop_
_atom_site_label
_atom_site_fract_x
_atom_site_fract_y
_atom_site_fract_z
Ta1 0.000 0.000 0.000
Zn1 0.000 0.500 0.779
Cd1 0.000 0.000 0.537
Cd2 0.000 0.500 0.258
# Magnetic moment in μB per formula unit: 0.0
# Final energy in eV/atom: -3.605
# E_form in meV/atom: 134

---

[10]
# GGA-PBE TaZnCd2, relaxed
data_TaZnCd2
_cell_length_a 6.733
_cell_length_b 6.733
_cell_length_c 6.733
_cell_angle_alpha 90.00
_cell_angle_beta 90.00
_cell_angle_gamma 90.00
_symmetry_space_group_name_H-M 'F m -3 m'
_symmetry_Int_Tables_number 225
_symmetry_space_group_name_Hall '-F 4 2 3'
loop_
_atom_site_label
_atom_site_fract_x
_atom_site_fract_y
_atom_site_fract_z
Ta1 0.000 0.000 0.000
Zn1 0.000 0.000 0.500
Cd1 0.250 0.250 0.250
# Magnetic moment in μB per formula unit: 1.0
# Final energy in eV/atom: -3.142
# E_form in meV/atom: 597

---

[11]
# GGA-PBE TaZnCd2, relaxed
data_TaZnCd2
_cell_length_a 2.9780
_cell_length_b 2.9780
_cell_length_c 29.7674
_cell_angle_alpha 90.00
_cell_angle_beta 90.00
_cell_angle_gamma 120.00
_symmetry_space_group_name_H-M 'R -3 m'
_symmetry_Int_Tables_number 166
_symmetry_space_group_name_Hall '-R 3 2"'
loop_
_atom_site_label
_atom_site_fract_x
_atom_site_fract_y
_atom_site_fract_z
Ta1 0.0000 0.0000 0.0000
Zn1 0.0000 0.0000 0.5000
Cd1 0.0000 0.0000 0.2475
# Magnetic moment in μB per formula unit: 0.0
# Final energy in eV/atom: -3.466
# E_form in meV/atom: 273

---

[12]
# GGA-PBE Ta2ZnCd, relaxed
data_Ta2ZnCd
_cell_length_a 5.645
_cell_length_b 8.832
_cell_length_c 2.840
_cell_angle_alpha 90.00
_cell_angle_beta 90.00
_cell_angle_gamma 90.00
_symmetry_space_group_name_H-M 'C m m m'
_symmetry_Int_Tables_number 65
_symmetry_space_group_name_Hall '-C 2 2'
loop_
_atom_site_label
_atom_site_fract_x
_atom_site_fract_y
_atom_site_fract_z
Ta1 0.250 0.250 0.000
Zn1 0.000 0.000 0.500
Cd1 0.000 0.500 0.500
# Magnetic moment in μB per formula unit: 0.0
# Final energy in eV/atom: -6.252
# E_form in meV/atom: 222

---

[13]
# GGA-PBE TaZnCd2, relaxed
data_TaZnCd2
_cell_length_a 6.699
_cell_length_b 6.699
_cell_length_c 6.699
_cell_angle_alpha 90.00
_cell_angle_beta 90.00
_cell_angle_gamma 90.00
_symmetry_space_group_name_H-M 'F -4 3 m'
_symmetry_Int_Tables_number 216
_symmetry_space_group_name_Hall 'F -4 2 3'
loop_
_atom_site_label
_atom_site_fract_x
_atom_site_fract_y
_atom_site_fract_z
Ta1 0.000 0.000 0.000
Zn1 0.250 0.250 0.250
Cd1 0.000 0.000 0.500
Cd2 0.250 0.250 0.750
# Magnetic moment in μB per formula unit: 0.0
# Final energy in eV/atom: -3.236
# E_form in meV/atom: 503

---

[14]
# GGA-PBE TaZnCd2, relaxed
data_TaZnCd2
_cell_length_a 2.888
_cell_length_b 4.224
_cell_length_c 6.215
_cell_angle_alpha 90.00
_cell_angle_beta 90.00
_cell_angle_gamma 90.00
_symmetry_space_group_name_H-M 'P m m 2'
_symmetry_Int_Tables_number 25
loop_
_symmetry_equiv_pos_as_xyz
'x,y,z'
'-x,-y,z'
'-x,y,z'
'x,-y,z'
loop_
_atom_site_label
_atom_site_fract_x
_atom_site_fract_y
_atom_site_fract_z
Ta1 0.000 0.000 0.000
Zn1 0.500 0.500 0.204
Cd1 0.000 0.000 0.476
Cd2 0.500 0.500 0.741
# Magnetic moment in μB per formula unit: 0.0
# Final energy in eV/atom: -3.456
# E_form in meV/atom: 283

---

[15]
# GGA-PBE TaZn2Cd, relaxed
data_TaZn2Cd
_cell_length_a 2.9202
_cell_length_b 2.9202
_cell_length_c 28.5197
_cell_angle_alpha 90.00
_cell_angle_beta 90.00
_cell_angle_gamma 120.00
_symmetry_space_group_name_H-M 'R 3 m'
_symmetry_Int_Tables_number 160
_symmetry_space_group_name_Hall 'R 3 -2"'
loop_
_atom_site_label
_atom_site_fract_x
_atom_site_fract_y
_atom_site_fract_z
Ta1 0.0000 0.0000 0.0000
Zn1 0.0000 0.0000 0.4879
Zn2 0.0000 0.0000 0.7474
Cd1 0.0000 0.0000 0.2416
# Magnetic moment in μB per formula unit: 0.0
# Final energy in eV/atom: -3.626
# E_form in meV/atom: 203

---

[16]
# GGA-PBE TaZnCd2, relaxed
data_TaZnCd2
_cell_length_a 2.9756
_cell_length_b 2.9756
_cell_length_c 30.1433
_cell_angle_alpha 90.00
_cell_angle_beta 90.00
_cell_angle_gamma 120.00
_symmetry_space_group_name_H-M 'R 3 m'
_symmetry_Int_Tables_number 160
_symmetry_space_group_name_Hall 'R 3 -2"'
loop_
_atom_site_label
_atom_site_fract_x
_atom_site_fract_y
_atom_site_fract_z
Ta1 0.0000 0.0000 0.0000
Zn1 0.0000 0.0000 0.7410
Cd1 0.0000 0.0000 0.2487
Cd2 0.0000 0.0000 0.4902
# Magnetic moment in μB per formula unit: 0.0
# Final energy in eV/atom: -3.539
# E_form in meV/atom: 200

---

[17]
# GGA-PBE TaZnCd3, relaxed
data_TaZnCd3
_cell_length_a 4.840
_cell_length_b 4.840
_cell_length_c 4.840
_cell_angle_alpha 90.00
_cell_angle_beta 90.00
_cell_angle_gamma 90.00
_symmetry_space_group_name_H-M 'P m -3 m'
_symmetry_Int_Tables_number 221
_symmetry_space_group_name_Hall '-P 4 2 3'
loop_
_atom_site_label
_atom_site_fract_x
_atom_site_fract_y
_atom_site_fract_z
Ta1 0.000 0.000 0.000
Zn1 0.500 0.500 0.500
Cd1 0.000 0.500 0.500
# Magnetic moment in μB per formula unit: 0.0
# Final energy in eV/atom: -2.111
# E_form in meV/atom: 1063

---

[18]
# GGA-PBE TaZn2Cd, relaxed
data_TaZn2Cd
_cell_length_a 2.748
_cell_length_b 5.294
_cell_length_c 9.887
_cell_angle_alpha 90.00
_cell_angle_beta 90.00
_cell_angle_gamma 90.00
_symmetry_space_group_name_H-M 'I m m m'
_symmetry_Int_Tables_number 71
_symmetry_space_group_name_Hall '-I 2 2'
loop_
_atom_site_label
_atom_site_fract_x
_atom_site_fract_y
_atom_site_fract_z
Ta1 0.000 0.000 0.000
Zn1 0.000 0.500 0.254
Cd1 0.000 0.000 0.500
# Magnetic moment in μB per formula unit: 0.0
# Final energy in eV/atom: -3.550
# E_form in meV/atom: 278

---

[19]
# GGA-PBE TaZn2Cd, relaxed
data_TaZn2Cd
_cell_length_a 4.157
_cell_length_b 4.157
_cell_length_c 3.879
_cell_angle_alpha 90.00
_cell_angle_beta 90.00
_cell_angle_gamma 90.00
_symmetry_space_group_name_H-M 'P 4/m m m'
_symmetry_Int_Tables_number 123
_symmetry_space_group_name_Hall '-P 4 2'
loop_
_atom_site_label
_atom_site_fract_x
_atom_site_fract_y
_atom_site_fract_z
Ta1 0.000 0.000 0.000
Zn1 0.000 0.500 0.500
Cd1 0.500 0.500 0.000
# Magnetic moment in μB per formula unit: 0.0
# Final energy in eV/atom: -3.711
# E_form in meV/atom: 118

---

[20]
# GGA-PBE TaZn2Cd, relaxed
data_TaZn2Cd
_cell_length_a 2.911
_cell_length_b 4.293
_cell_length_c 5.635
_cell_angle_alpha 90.00
_cell_angle_beta 104.74
_cell_angle_gamma 90.00
_symmetry_space_group_name_H-M 'P 1 m 1'
_symmetry_Int_Tables_number 6
loop_
_symmetry_equiv_pos_as_xyz
'x,y,z'
'x,-y,z'
loop_
_atom_site_label
_atom_site_fract_x
_atom_site_fract_y
_atom_site_fract_z
Ta1 0.000 0.000 0.000
Zn1 0.598 0.500 0.200
Zn2 0.733 0.000 0.469
Cd1 0.347 0.500 0.693
# Magnetic moment in μB per formula unit: 0.0
# Final energy in eV/atom: -3.671
# E_form in meV/atom: 158